This record from Alexandria via LeMat-Bulk describes a relaxed AlIn5 crystal. The functional is PBE.

Properties
ΔE_f = 171 kJ/mol of formula units
calculated volume = 29.1 A^3/atom
ρ = 5.7 Mg/m³
DOS(E_F) = 4.309 states/eV/cell

The structure in CIF format:
```
data_AlIn5
_symmetry_space_group_name_H-M 'P 6/m m m'
_symmetry_Int_Tables_number 191
_symmetry_space_group_name_Hall '-P 6 2'
_cell_length_a 5.9629
_cell_length_b 5.9629
_cell_length_c 5.6788
_cell_angle_alpha 90.00
_cell_angle_beta 90.00
_cell_angle_gamma 120.00
loop_
_atom_site_label
_atom_site_type_symbol
_atom_site_fract_x
_atom_site_fract_y
_atom_site_fract_z
_atom_site_occupancy
Al1 Al 0.0000 0.0000 0.0000 1
In1 In 0.0000 0.5000 0.5000 1
In2 In 0.3333 0.6667 0.0000 1
```